The following is a meta-GGA SCAN calculation of a crystal of CaAlSe2 relaxed with PBEsol, from Alexandria.

The structure in POSCAR format:
```
CaAlSe2
1.0
1.939 1.119 6.868
-1.939 1.119 6.868
0.000 -2.239 6.868
Ca Al Se
1 1 2
Direct
0.000 0.000 0.000
0.500 0.500 0.500
0.242 0.242 0.242
0.758 0.758 0.758
```

Total DFT energy (no corrections) ... -15.571 eV per atom
Energy relative to the elements, uncorrected ... -1.18 eV/atom